# 1
Entry from Alexandria via LeMat-Bulk: CaMgP2O after structural relaxation (GGA-PBE).

```
data_CaMgP2O
_cell_length_a 5.286
_cell_length_b 5.286
_cell_length_c 4.223
_cell_angle_alpha 90.00
_cell_angle_beta 90.00
_cell_angle_gamma 90.00
_symmetry_space_group_name_H-M 'P 1'
_symmetry_Int_Tables_number 1
loop_
_symmetry_equiv_pos_as_xyz
'x,y,z'
loop_
_atom_site_label
_atom_site_fract_x
_atom_site_fract_y
_atom_site_fract_z
Ca1 0.000 0.000 0.000
Mg1 0.500 0.500 0.500
P1 0.000 0.500 0.000
P2 0.500 0.000 0.000
O1 0.000 0.000 0.500
```

Calculated values
ΔE_f (raw) (eV/atom): 0.26
SG: P4/mmm, No. 123
D(E_F) (states/eV/f.u.): 3.60

# 2
Entry from Alexandria via LeMat-Bulk: CaMgP2O after structural relaxation (GGA-PBE).

```
data_CaMgP2O
_cell_length_a 5.172
_cell_length_b 5.172
_cell_length_c 3.681
_cell_angle_alpha 90.00
_cell_angle_beta 90.00
_cell_angle_gamma 90.00
_symmetry_space_group_name_H-M 'P 1'
_symmetry_Int_Tables_number 1
loop_
_symmetry_equiv_pos_as_xyz
'x,y,z'
loop_
_atom_site_label
_atom_site_fract_x
_atom_site_fract_y
_atom_site_fract_z
Ca1 0.000 0.000 0.000
Mg1 0.500 0.500 0.500
P1 0.000 0.500 0.500
P2 0.500 0.000 0.500
O1 0.500 0.500 0.000
```

Calculated values
ΔE_f (raw) (eV/atom): -0.36
SG: P4/mmm, No. 123
D(E_F) (states/eV/f.u.): 4.05

# 3
Entry from Alexandria via LeMat-Bulk: Ca19Mg2P14O56 after structural relaxation (GGA-PBE).

```
data_Ca19Mg2P14O56
_cell_length_a 13.866
_cell_length_b 13.866
_cell_length_c 13.866
_cell_angle_alpha 44.24
_cell_angle_beta 44.24
_cell_angle_gamma 44.24
_symmetry_space_group_name_H-M 'P 1'
_symmetry_Int_Tables_number 1
loop_
_symmetry_equiv_pos_as_xyz
'x,y,z'
loop_
_atom_site_label
_atom_site_fract_x
_atom_site_fract_y
_atom_site_fract_z
Ca1 0.043 0.043 0.043
Ca2 0.074 0.657 0.668
Ca3 0.157 0.572 0.170
Ca4 0.170 0.157 0.572
Ca5 0.187 0.749 0.778
Ca6 0.270 0.669 0.287
Ca7 0.287 0.270 0.669
Ca8 0.298 0.326 0.883
Ca9 0.326 0.883 0.298
Ca10 0.388 0.823 0.789
Ca11 0.572 0.170 0.157
Ca12 0.657 0.668 0.074
Ca13 0.668 0.074 0.657
Ca14 0.669 0.287 0.270
Ca15 0.749 0.778 0.187
Ca16 0.778 0.187 0.749
Ca17 0.789 0.388 0.823
Ca18 0.823 0.789 0.388
Ca19 0.883 0.298 0.326
Mg1 0.232 0.232 0.232
Mg2 0.731 0.731 0.731
P1 0.009 0.546 0.049
P2 0.045 0.508 0.551
P3 0.049 0.009 0.546
P4 0.406 0.961 0.924
P5 0.422 0.457 0.914
P6 0.457 0.914 0.422
P7 0.466 0.466 0.466
P8 0.508 0.551 0.045
P9 0.546 0.049 0.009
P10 0.551 0.045 0.508
P11 0.914 0.422 0.457
P12 0.924 0.406 0.961
P13 0.961 0.924 0.406
P14 0.967 0.967 0.967
O1 0.042 0.623 0.058
O2 0.058 0.042 0.623
O3 0.064 0.601 0.879
O4 0.087 0.335 0.647
O5 0.091 0.353 0.361
O6 0.097 0.369 0.118
O7 0.098 0.351 0.887
O8 0.102 0.563 0.381
O9 0.118 0.097 0.369
O10 0.119 0.545 0.561
O11 0.121 0.986 0.845
O12 0.122 0.840 0.397
O13 0.142 0.836 0.586
O14 0.305 0.982 0.889
O15 0.335 0.647 0.087
O16 0.339 0.471 0.623
O17 0.344 0.621 0.896
O18 0.351 0.887 0.098
O19 0.353 0.361 0.091
O20 0.361 0.091 0.353
O21 0.369 0.118 0.097
O22 0.375 0.471 0.830
O23 0.380 0.859 0.597
O24 0.381 0.102 0.563
O25 0.397 0.122 0.840
O26 0.424 0.424 0.424
O27 0.471 0.623 0.339
O28 0.471 0.830 0.375
O29 0.545 0.561 0.119
O30 0.561 0.119 0.545
O31 0.563 0.381 0.102
O32 0.580 0.860 0.854
O33 0.586 0.142 0.836
O34 0.596 0.619 0.868
O35 0.597 0.380 0.859
O36 0.601 0.879 0.064
O37 0.619 0.868 0.596
O38 0.621 0.896 0.344
O39 0.623 0.058 0.042
O40 0.623 0.339 0.471
O41 0.647 0.087 0.335
O42 0.830 0.375 0.471
O43 0.836 0.586 0.142
O44 0.840 0.397 0.122
O45 0.845 0.121 0.986
O46 0.854 0.580 0.860
O47 0.859 0.597 0.380
O48 0.860 0.854 0.580
O49 0.868 0.596 0.619
O50 0.879 0.064 0.601
O51 0.887 0.098 0.351
O52 0.889 0.305 0.982
O53 0.896 0.344 0.621
O54 0.927 0.927 0.927
O55 0.982 0.889 0.305
O56 0.986 0.845 0.121
```

Calculated values
ΔE_f (raw) (eV/atom): -2.88
SG: R3, No. 146
D(E_F) (states/eV/f.u.): 0.00

# 4
Entry from Alexandria via LeMat-Bulk: CaMgP2O6 after structural relaxation (GGA-PBE).

```
data_CaMgP2O6
_cell_length_a 6.361
_cell_length_b 6.361
_cell_length_c 6.361
_cell_angle_alpha 47.55
_cell_angle_beta 47.55
_cell_angle_gamma 47.55
_symmetry_space_group_name_H-M 'P 1'
_symmetry_Int_Tables_number 1
loop_
_symmetry_equiv_pos_as_xyz
'x,y,z'
loop_
_atom_site_label
_atom_site_fract_x
_atom_site_fract_y
_atom_site_fract_z
Ca1 0.000 0.000 0.000
Mg1 0.500 0.500 0.500
P1 0.263 0.263 0.263
P2 0.737 0.737 0.737
O1 0.062 0.744 0.475
O2 0.256 0.525 0.938
O3 0.475 0.062 0.744
O4 0.525 0.938 0.256
O5 0.744 0.475 0.062
O6 0.938 0.256 0.525
```

Calculated values
ΔE_f (raw) (eV/atom): -2.24
SG: R-3, No. 148
D(E_F) (states/eV/f.u.): 0.62

# 5
Entry from Alexandria via LeMat-Bulk: CaMg2PbO after structural relaxation (GGA-PBE).

```
data_CaMg2PbO
_cell_length_a 4.542
_cell_length_b 4.542
_cell_length_c 4.731
_cell_angle_alpha 90.00
_cell_angle_beta 90.00
_cell_angle_gamma 90.00
_symmetry_space_group_name_H-M 'P 1'
_symmetry_Int_Tables_number 1
loop_
_symmetry_equiv_pos_as_xyz
'x,y,z'
loop_
_atom_site_label
_atom_site_fract_x
_atom_site_fract_y
_atom_site_fract_z
Ca1 0.000 0.000 0.000
Mg1 0.000 0.500 0.500
Mg2 0.500 0.000 0.500
Pb1 0.500 0.500 0.000
O1 0.000 0.000 0.500
```

Calculated values
ΔE_f (raw) (eV/atom): -1.14
SG: P4/mmm, No. 123
D(E_F) (states/eV/f.u.): 1.02

# 6
Entry from Alexandria via LeMat-Bulk: Ca2MgPbO5 after structural relaxation (GGA-PBE).

```
data_Ca2MgPbO5
_cell_length_a 6.656
_cell_length_b 6.656
_cell_length_c 11.755
_cell_angle_alpha 90.00
_cell_angle_beta 90.00
_cell_angle_gamma 150.19
_symmetry_space_group_name_H-M 'P 1'
_symmetry_Int_Tables_number 1
loop_
_symmetry_equiv_pos_as_xyz
'x,y,z'
loop_
_atom_site_label
_atom_site_fract_x
_atom_site_fract_y
_atom_site_fract_z
Ca1 0.079 0.921 0.500
Ca2 0.168 0.832 0.098
Ca3 0.832 0.168 0.598
Ca4 0.921 0.079 0.000
Mg1 0.247 0.753 0.859
Mg2 0.753 0.247 0.359
Pb1 0.450 0.550 0.284
Pb2 0.550 0.450 0.784
O1 0.086 0.914 0.891
O2 0.253 0.747 0.499
O3 0.284 0.716 0.250
O4 0.402 0.598 0.866
O5 0.487 0.513 0.616
O6 0.513 0.487 0.116
O7 0.598 0.402 0.366
O8 0.716 0.284 0.750
O9 0.747 0.253 0.999
O10 0.914 0.086 0.391
```

Calculated values
ΔE_f (raw) (eV/atom): -2.13
SG: Cmc2_1, No. 36

# 7
Entry from Alexandria via LeMat-Bulk: Ca3MgPb2O after structural relaxation (GGA-PBE).

```
data_Ca3MgPb2O
_cell_length_a 9.210
_cell_length_b 9.210
_cell_length_c 9.210
_cell_angle_alpha 154.70
_cell_angle_beta 147.55
_cell_angle_gamma 41.58
_symmetry_space_group_name_H-M 'P 1'
_symmetry_Int_Tables_number 1
loop_
_symmetry_equiv_pos_as_xyz
'x,y,z'
loop_
_atom_site_label
_atom_site_fract_x
_atom_site_fract_y
_atom_site_fract_z
Ca1 0.000 0.000 0.000
Ca2 0.340 0.840 0.500
Ca3 0.660 0.160 0.500
Mg1 0.500 0.500 0.000
Pb1 0.146 0.646 0.500
Pb2 0.854 0.354 0.500
O1 0.500 0.000 0.500
```

Calculated values
ΔE_f (raw) (eV/atom): -1.05
SG: Immm, No. 71
D(E_F) (states/eV/f.u.): 2.22

# 8
Entry from Alexandria via LeMat-Bulk: Ca2MgPbO after structural relaxation (GGA-PBE).

```
data_Ca2MgPbO
_cell_length_a 4.852
_cell_length_b 4.852
_cell_length_c 4.547
_cell_angle_alpha 90.00
_cell_angle_beta 90.00
_cell_angle_gamma 90.00
_symmetry_space_group_name_H-M 'P 1'
_symmetry_Int_Tables_number 1
loop_
_symmetry_equiv_pos_as_xyz
'x,y,z'
loop_
_atom_site_label
_atom_site_fract_x
_atom_site_fract_y
_atom_site_fract_z
Ca1 0.000 0.500 0.000
Ca2 0.500 0.000 0.000
Mg1 0.000 0.000 0.500
Pb1 0.500 0.500 0.500
O1 0.000 0.000 0.000
```

Calculated values
ΔE_f (raw) (eV/atom): -1.35
SG: P4/mmm, No. 123
D(E_F) (states/eV/f.u.): 0.84

| no. | M_tot (μB per formula unit) |
| --- | --- |
| 1 | 1.65 |
| 2 | 0.00 |
| 3 | 0.00 |
| 4 | 1.99 |
| 5 | 0.00 |
| 6 | 0.00 |
| 7 | 0.00 |
| 8 | 0.00 |